A geometry-optimized FeCu2F6 structure, computed with GGA+U.

POSCAR file:
```
FeCu2F6
1.0
-2.0327 -0.9245 -4.3516
4.6493 -2.8316 -1.5702
-3.4045 -7.3368 3.1490
F Fe Cu
12 2 4
Direct
0.2627 0.6317 0.1609
0.2383 0.1317 0.3396
0.7383 0.3683 0.1604
0.3257 0.1802 0.0002
0.8257 0.3198 0.4998
0.2617 0.6317 0.8396
0.7617 0.8683 0.6604
0.7373 0.3683 0.8391
0.7627 0.8683 0.3391
0.2373 0.1317 0.6609
0.6743 0.8198 0.9998
0.1743 0.6802 0.5002
0.5000 0.5000 0.0000
0.0000 0.0000 0.5000
0.4998 0.0000 0.8127
0.9998 0.5000 0.6873
0.0002 0.5000 0.3127
0.5002 0.0000 0.1873
```

DOS(E_F): 0.475 states/eV per atom
total DFT energy (no corrections): -4.614 eV per atom